No. 1
{"formula": "PrGa4Ni12", "functional": "GGA-PBE", "state": "optimized geometry", "formation_energy_kj_per_mol_fu": 368, "magnetic_moment_mub_per_atom": 0.000, "lattice": [[6.902, 0.000, 0.000], [-2.301, 6.507, 0.000], [-2.301, -3.254, 5.635]], "species": ["Ni", "Ni", "Ni", "Ni", "Ni", "Ni", "Ni", "Ni", "Ni", "Ni", "Ni", "Ni", "Ga", "Ga", "Ga", "Ga", "Pr"], "fractional_positions": [[0.357, 0.506, 0.149], [0.643, 0.494, 0.851], [0.357, 0.209, 0.851], [0.791, 0.149, 0.643], [0.494, 0.851, 0.643], [0.851, 0.643, 0.494], [0.209, 0.851, 0.357], [0.851, 0.357, 0.209], [0.149, 0.357, 0.506], [0.643, 0.791, 0.149], [0.506, 0.149, 0.357], [0.149, 0.643, 0.791], [0.000, 0.000, 0.500], [0.500, 0.000, 0.000], [0.000, 0.500, 0.000], [0.500, 0.500, 0.500], [0.000, 0.000, 0.000]]}

No. 2
{"formula": "Cs3MgTe", "functional": "GGA-PBE", "state": "optimized geometry", "total_energy_ev_per_atom": -1.77, "magnetic_moment_mub_per_atom": 0.000, "lattice": [[7.406, 0.000, 0.000], [0.000, 7.406, 0.000], [0.000, 0.000, 7.406]], "species": ["Te", "Cs", "Cs", "Cs", "Mg"], "fractional_positions": [[0.000, 0.000, 0.000], [0.000, 0.500, 0.000], [0.500, 0.000, 0.000], [0.000, 0.000, 0.500], [0.500, 0.500, 0.500]]}